This record from the Alexandria database describes RbMn2Au2 after structural relaxation. The functional is PBE-GGA.

```
RbMn2Au2
1.0
8.525 0.000 0.000
0.000 8.525 0.000
0.000 0.000 2.911
Rb Mn Au
2 4 4
Direct
0.000 0.000 0.000
0.500 0.500 0.000
0.117 0.383 0.500
0.383 0.883 0.500
0.617 0.117 0.500
0.883 0.617 0.500
0.171 0.671 0.000
0.329 0.171 0.000
0.671 0.829 0.000
0.829 0.329 0.000
```

As for the relative energy among the computed polymorphs: 0 kJ/mol of formula units. As for the space group: No. 127. As for the size of the total moment: 8.5 μB per formula unit. The formation energy is 254 meV per atom. As for the total DFT energy (no corrections): -0.361 Ry per atom.